The following is a PBE calculation of an optimized crystal structure of HoMg2Te3, from Alexandria via LeMat-Bulk.

The structure in CIF format:
```
data_HoMg2Te3
_chemical_formula_sum 'Ho2 Mg4 Te6'
_cell_length_a 4.310
_cell_length_b 8.324
_cell_length_c 12.169
_cell_angle_alpha 94.94
_cell_angle_beta 90.00
_cell_angle_gamma 90.00
_space_group_name_H-M_alt 'P 1'
_space_group_IT_number 1
loop_
_space_group_symop_operation_xyz
'x,y,z'
loop_
_atom_site_label
_atom_site_fract_x
_atom_site_fract_y
_atom_site_fract_z
Te1 0.750 0.606 0.355
Te2 0.250 0.394 0.645
Te3 0.250 0.144 0.265
Te4 0.750 0.677 0.039
Te5 0.250 0.323 0.961
Te6 0.750 0.856 0.735
Mg1 0.250 0.929 0.076
Mg2 0.250 0.415 0.413
Mg3 0.750 0.071 0.924
Mg4 0.750 0.585 0.587
Ho1 0.750 0.341 0.152
Ho2 0.250 0.659 0.848
```

formation energy (no corrections): -0.833 eV per atom
total DFT energy (no corrections): -3.698 eV per atom

=====

The following is a PBE calculation of an optimized crystal structure of CeSmMgSc, from Alexandria via LeMat-Bulk.

The structure in CIF format:
```
data_CeSmMgSc
_chemical_formula_sum 'Ce1 Sm1 Mg1 Sc1'
_cell_length_a 5.428
_cell_length_b 5.428
_cell_length_c 5.428
_cell_angle_alpha 60.00
_cell_angle_beta 60.00
_cell_angle_gamma 60.00
_space_group_name_H-M_alt 'P 1'
_space_group_IT_number 1
loop_
_space_group_symop_operation_xyz
'x,y,z'
loop_
_atom_site_label
_atom_site_fract_x
_atom_site_fract_y
_atom_site_fract_z
Sc1 0.000 0.000 0.000
Ce1 0.750 0.750 0.750
Sm1 0.250 0.250 0.250
Mg1 0.500 0.500 0.500
```

DFT formation energy: 74 meV/atom
total DFT energy (no corrections): -4.571 eV per atom

=====

The following is a PBE calculation of an optimized crystal structure of AlCr2Ru, from Alexandria via LeMat-Bulk.

The structure in CIF format:
```
data_AlCr2Ru
_chemical_formula_sum 'Al1 Cr2 Ru1'
_cell_length_a 4.889
_cell_length_b 4.889
_cell_length_c 4.889
_cell_angle_alpha 138.17
_cell_angle_beta 138.17
_cell_angle_gamma 60.64
_space_group_name_H-M_alt 'P 1'
_space_group_IT_number 1
loop_
_space_group_symop_operation_xyz
'x,y,z'
loop_
_atom_site_label
_atom_site_fract_x
_atom_site_fract_y
_atom_site_fract_z
Al1 0.750 0.250 0.500
Cr1 0.000 0.000 0.000
Cr2 0.500 0.500 0.000
Ru1 0.250 0.750 0.500
```

DFT formation energy: -77 meV/atom
total DFT energy (no corrections): -8.143 eV per atom

=====

The following is a PBE calculation of an optimized crystal structure of NdBe4PdPt2, from Alexandria via LeMat-Bulk.

The structure in CIF format:
```
data_NdBe4PdPt2
_chemical_formula_sum 'Nd1 Be4 Pd1 Pt2'
_cell_length_a 3.945
_cell_length_b 3.945
_cell_length_c 8.729
_cell_angle_alpha 76.94
_cell_angle_beta 76.94
_cell_angle_gamma 60.00
_space_group_name_H-M_alt 'P 1'
_space_group_IT_number 1
loop_
_space_group_symop_operation_xyz
'x,y,z'
loop_
_atom_site_label
_atom_site_fract_x
_atom_site_fract_y
_atom_site_fract_z
Be1 0.870 0.870 0.391
Be2 0.130 0.130 0.609
Be3 0.410 0.410 0.770
Be4 0.590 0.590 0.230
Nd1 0.000 0.000 0.000
Pt1 0.236 0.236 0.293
Pt2 0.764 0.764 0.707
Pd1 0.500 0.500 0.500
```

DFT formation energy: -639 meV/atom
total DFT energy (no corrections): -5.257 eV per atom

=====

The following is a PBE calculation of an optimized crystal structure of Tb2HfThP4, from Alexandria via LeMat-Bulk.

The structure in CIF format:
```
data_Tb2HfThP4
_chemical_formula_sum 'Tb2 Hf1 Th1 P4'
_cell_length_a 3.975
_cell_length_b 6.881
_cell_length_c 6.890
_cell_angle_alpha 109.37
_cell_angle_beta 90.00
_cell_angle_gamma 90.00
_space_group_name_H-M_alt 'P 1'
_space_group_IT_number 1
loop_
_space_group_symop_operation_xyz
'x,y,z'
loop_
_atom_site_label
_atom_site_fract_x
_atom_site_fract_y
_atom_site_fract_z
Tb1 0.500 0.000 0.500
Tb2 0.000 0.500 0.500
P1 0.500 0.232 0.237
P2 0.000 0.764 0.247
P3 0.000 0.236 0.753
P4 0.500 0.768 0.763
Hf1 0.000 0.000 0.000
Th1 0.500 0.500 0.000
```

DFT formation energy: -1475 meV/atom
total DFT energy (no corrections): -7.509 eV per atom

=====

The following is a PBE calculation of an optimized crystal structure of LaTc2AgO8, from Alexandria via LeMat-Bulk.

The structure in CIF format:
```
data_LaTc2AgO8
_chemical_formula_sum 'La1 Tc2 Ag1 O8'
_cell_length_a 6.167
_cell_length_b 6.167
_cell_length_c 6.761
_cell_angle_alpha 90.00
_cell_angle_beta 90.00
_cell_angle_gamma 120.00
_space_group_name_H-M_alt 'P 1'
_space_group_IT_number 1
loop_
_space_group_symop_operation_xyz
'x,y,z'
loop_
_atom_site_label
_atom_site_fract_x
_atom_site_fract_y
_atom_site_fract_z
Tc1 0.667 0.333 0.188
Tc2 0.333 0.667 0.812
O1 0.827 0.654 0.273
O2 0.174 0.827 0.727
O3 0.346 0.174 0.273
O4 0.333 0.667 0.069
O5 0.654 0.826 0.727
O6 0.173 0.346 0.727
O7 0.826 0.173 0.273
O8 0.667 0.333 0.931
Ag1 0.000 0.000 0.000
La1 0.000 0.000 0.500
```

formation energy (no corrections): -1.601 eV per atom
total DFT energy (no corrections): -7.283 eV per atom

=====

The following is a PBE calculation of an optimized crystal structure of SrCu7O12, from Alexandria via LeMat-Bulk.

The structure in CIF format:
```
data_SrCu7O12
_chemical_formula_sum 'Sr1 Cu7 O12'
_cell_length_a 6.369
_cell_length_b 6.369
_cell_length_c 6.369
_cell_angle_alpha 109.47
_cell_angle_beta 109.47
_cell_angle_gamma 109.47
_space_group_name_H-M_alt 'P 1'
_space_group_IT_number 1
loop_
_space_group_symop_operation_xyz
'x,y,z'
loop_
_atom_site_label
_atom_site_fract_x
_atom_site_fract_y
_atom_site_fract_z
O1 0.825 0.510 0.685
O2 0.685 0.175 0.860
O3 0.860 0.685 0.175
O4 0.315 0.825 0.140
O5 0.315 0.175 0.490
O6 0.685 0.825 0.510
O7 0.175 0.860 0.685
O8 0.175 0.490 0.315
O9 0.510 0.685 0.825
O10 0.825 0.140 0.315
O11 0.140 0.315 0.825
O12 0.490 0.315 0.175
Cu1 0.000 0.500 0.000
Cu2 0.500 0.000 0.000
Cu3 0.500 0.000 0.500
Cu4 0.000 0.500 0.500
Cu5 0.000 0.000 0.500
Cu6 0.500 0.500 0.000
Cu7 0.500 0.500 0.500
Sr1 0.000 0.000 0.000
```

formation energy (no corrections): -0.670 eV per atom
total DFT energy (no corrections): -5.163 eV per atom

=====

The following is a PBE calculation of an optimized crystal structure of YHg2I6, from Alexandria via LeMat-Bulk.

The structure in CIF format:
```
data_YHg2I6
_chemical_formula_sum 'Y2 Hg4 I12'
_cell_length_a 8.314
_cell_length_b 10.998
_cell_length_c 10.998
_cell_angle_alpha 85.83
_cell_angle_beta 76.06
_cell_angle_gamma 76.06
_space_group_name_H-M_alt 'P 1'
_space_group_IT_number 1
loop_
_space_group_symop_operation_xyz
'x,y,z'
loop_
_atom_site_label
_atom_site_fract_x
_atom_site_fract_y
_atom_site_fract_z
Y1 0.250 0.068 0.932
Y2 0.750 0.932 0.068
I1 0.480 0.679 0.567
I2 0.520 0.321 0.433
I3 0.323 0.327 0.927
I4 0.823 0.927 0.327
I5 0.177 0.073 0.673
I6 0.133 0.820 0.960
I7 0.980 0.567 0.679
I8 0.677 0.673 0.073
I9 0.020 0.433 0.321
I10 0.633 0.960 0.820
I11 0.367 0.040 0.180
I12 0.867 0.180 0.040
Hg1 0.662 0.517 0.298
Hg2 0.162 0.298 0.517
Hg3 0.838 0.702 0.483
Hg4 0.338 0.483 0.702
```

formation energy (no corrections): -0.662 eV per atom
total DFT energy (no corrections): -2.480 eV per atom

=====

The following is a PBE calculation of an optimized crystal structure of Tb4HoEr5, from Alexandria via LeMat-Bulk.

The structure in CIF format:
```
data_Tb4HoEr5
_chemical_formula_sum 'Tb4 Ho1 Er5'
_cell_length_a 3.493
_cell_length_b 10.881
_cell_length_c 8.684
_cell_angle_alpha 90.04
_cell_angle_beta 101.54
_cell_angle_gamma 90.00
_space_group_name_H-M_alt 'P 1'
_space_group_IT_number 1
loop_
_space_group_symop_operation_xyz
'x,y,z'
loop_
_atom_site_label
_atom_site_fract_x
_atom_site_fract_y
_atom_site_fract_z
Er1 0.174 0.947 0.348
Er2 0.173 0.552 0.347
Er3 0.826 0.053 0.652
Er4 0.827 0.448 0.653
Er5 0.500 0.500 0.000
Ho1 0.500 0.000 0.000
Tb1 0.028 0.750 0.056
Tb2 0.653 0.250 0.307
Tb3 0.972 0.250 0.944
Tb4 0.347 0.750 0.693
```

DFT formation energy: 188 meV/atom
energy above the most stable polymorph in this dataset: 1.85 eV/f.u.
total DFT energy (no corrections): -4.403 eV per atom

=====

The following is a PBE calculation of an optimized crystal structure of Tb6Nd3Er2Th, from Alexandria via LeMat-Bulk.

The structure in CIF format:
```
data_Tb6Nd3Er2Th
_chemical_formula_sum 'Tb6 Nd3 Er2 Th1'
_cell_length_a 6.206
_cell_length_b 6.206
_cell_length_c 11.886
_cell_angle_alpha 95.00
_cell_angle_beta 95.00
_cell_angle_gamma 119.96
_space_group_name_H-M_alt 'P 1'
_space_group_IT_number 1
loop_
_space_group_symop_operation_xyz
'x,y,z'
loop_
_atom_site_label
_atom_site_fract_x
_atom_site_fract_y
_atom_site_fract_z
Tb1 0.082 0.413 0.246
Tb2 0.413 0.082 0.246
Tb3 0.587 0.918 0.754
Tb4 0.918 0.587 0.754
Tb5 0.248 0.248 0.754
Tb6 0.752 0.752 0.246
Er1 0.333 0.667 0.000
Er2 0.667 0.333 0.000
Th1 0.000 0.000 0.000
Nd1 0.833 0.167 0.500
Nd2 0.500 0.500 0.500
Nd3 0.167 0.833 0.500
```

DFT formation energy: 21 meV/atom
total DFT energy (no corrections): -4.865 eV per atom

=====

The following is a PBE calculation of an optimized crystal structure of Nd3Y, from Alexandria via LeMat-Bulk.

The structure in CIF format:
```
data_Nd3Y
_chemical_formula_sum 'Nd3 Y1'
_cell_length_a 3.670
_cell_length_b 3.670
_cell_length_c 11.813
_cell_angle_alpha 90.00
_cell_angle_beta 90.00
_cell_angle_gamma 120.00
_space_group_name_H-M_alt 'P 1'
_space_group_IT_number 1
loop_
_space_group_symop_operation_xyz
'x,y,z'
loop_
_atom_site_label
_atom_site_fract_x
_atom_site_fract_y
_atom_site_fract_z
Nd1 0.000 0.000 0.254
Nd2 0.333 0.667 0.000
Nd3 0.000 0.000 0.746
Y1 0.667 0.333 0.500
```

DFT formation energy: -3 meV/atom
energy above the most stable polymorph in this dataset: 0.00 eV/f.u.
total DFT energy (no corrections): -5.195 eV per atom

=====

The following is a PBE calculation of an optimized crystal structure of Li2PtAu6, from Alexandria via LeMat-Bulk.

The structure in CIF format:
```
data_Li2PtAu6
_chemical_formula_sum 'Li2 Pt1 Au6'
_cell_length_a 4.130
_cell_length_b 4.943
_cell_length_c 8.558
_cell_angle_alpha 105.74
_cell_angle_beta 90.00
_cell_angle_gamma 114.70
_space_group_name_H-M_alt 'P 1'
_space_group_IT_number 1
loop_
_space_group_symop_operation_xyz
'x,y,z'
loop_
_atom_site_label
_atom_site_fract_x
_atom_site_fract_y
_atom_site_fract_z
Li1 0.339 0.678 0.285
Li2 0.661 0.322 0.715
Au1 0.332 0.663 0.946
Au2 0.996 0.992 0.825
Au3 0.667 0.334 0.396
Au4 0.668 0.337 0.054
Au5 0.004 0.008 0.175
Au6 0.333 0.666 0.604
Pt1 0.000 0.000 0.500
```

DFT formation energy: -296 meV/atom
energy above the most stable polymorph in this dataset: 0.00 eV/f.u.
total DFT energy (no corrections): -3.577 eV per atom